[1]
The following is a DFT calculation (PBE) of a geometry-optimized Eu2MgSe4 structure. Values from VASP.

Cell and atoms, written as Quantum ESPRESSO input:
```
&SYSTEM
  ibrav = 0, nat = 28, ntyp = 3
/
ATOMIC_SPECIES
Eu 151.96 Eu.upf
Mg 24.30 Mg.upf
Se 78.96 Se.upf
CELL_PARAMETERS angstrom
14.3716 0.0000 0.0000
0.0000 8.6023 0.0000
0.0000 0.0000 7.0159
ATOMIC_POSITIONS crystal
Eu 0.0000 0.0000 0.0000
Eu 0.0000 0.5000 0.0000
Eu 0.2298 0.2500 0.4864
Eu 0.2702 0.7500 0.9864
Eu 0.5000 0.0000 0.5000
Eu 0.5000 0.5000 0.5000
Eu 0.7298 0.2500 0.0136
Eu 0.7702 0.7500 0.5136
Mg 0.0980 0.7500 0.4117
Mg 0.4020 0.2500 0.9117
Mg 0.5980 0.7500 0.0883
Mg 0.9020 0.2500 0.5883
Se 0.0667 0.2500 0.7454
Se 0.0887 0.7500 0.7757
Se 0.1729 0.5151 0.2347
Se 0.1729 0.9849 0.2347
Se 0.3271 0.0151 0.7347
Se 0.3271 0.4849 0.7347
Se 0.4113 0.2500 0.2757
Se 0.4333 0.7500 0.2454
Se 0.5667 0.2500 0.7546
Se 0.5887 0.7500 0.7243
Se 0.6729 0.5151 0.2653
Se 0.6729 0.9849 0.2653
Se 0.8271 0.0151 0.7653
Se 0.8271 0.4849 0.7653
Se 0.9113 0.2500 0.2243
Se 0.9333 0.7500 0.2546
```

**DOS(E_F)**: 14.49 states/eV/f.u.
**Formation energy without anion corrections**: -9.610 eV/f.u.
**Mass density**: 4.932 g/cm3
**Crystal system**: orthorhombic
**Spin magnetization**: 0.17 μB per formula unit

[2]
The following is a DFT calculation (PBE) of a geometry-optimized Eu2MgSe4 structure. Values from VASP.

Cell and atoms, written as Quantum ESPRESSO input:
```
&SYSTEM
  ibrav = 0, nat = 14, ntyp = 3
/
ATOMIC_SPECIES
Eu 151.96 Eu.upf
Mg 24.30 Mg.upf
Se 78.96 Se.upf
CELL_PARAMETERS angstrom
-4.2935 4.2935 4.7404
4.2935 -4.2935 4.7404
4.2935 4.2935 -4.7404
ATOMIC_POSITIONS crystal
Eu 0.3750 0.2454 0.3704
Eu 0.7546 0.1250 0.1296
Eu 0.8750 0.0046 0.6296
Eu 0.9954 0.6250 0.8704
Mg 0.2500 0.7500 0.5000
Mg 0.5000 0.5000 0.0000
Se 0.0102 0.8851 0.2766
Se 0.1149 0.3915 0.1252
Se 0.1415 0.3649 0.6252
Se 0.2663 0.9898 0.8748
Se 0.4837 0.8585 0.2234
Se 0.6085 0.7337 0.7234
Se 0.6351 0.2602 0.7766
Se 0.7398 0.5163 0.3748
```

**DOS(E_F)**: 13.31 states/eV/f.u.
**Formation energy without anion corrections**: -9.743 eV/f.u.
**Mass density**: 6.120 g/cm3
**Crystal system**: tetragonal
**Spin magnetization**: 12.55 μB per formula unit

[3]
The following is a DFT calculation (PBE) of a geometry-optimized EuMgSe2 structure. Values from VASP.

Cell and atoms, written as Quantum ESPRESSO input:
```
&SYSTEM
  ibrav = 0, nat = 4, ntyp = 3
/
ATOMIC_SPECIES
Eu 151.96 Eu.upf
Mg 24.30 Mg.upf
Se 78.96 Se.upf
CELL_PARAMETERS angstrom
2.0670 1.1934 6.7360
-2.0670 1.1934 6.7360
0.0000 -2.3867 6.7360
ATOMIC_POSITIONS crystal
Eu 0.0000 0.0000 0.0000
Mg 0.5000 0.5000 0.5000
Se 0.2404 0.2404 0.2404
Se 0.7596 0.7596 0.7596
```

**DOS(E_F)**: 11.73 states/eV/f.u.
**Formation energy without anion corrections**: -6.340 eV/f.u.
**Mass density**: 5.566 g/cm3
**Crystal system**: trigonal
**Spin magnetization**: 7.00 μB per formula unit

[4]
The following is a DFT calculation (PBE) of a geometry-optimized Eu2MgSe4 structure. Values from VASP.

Cell and atoms, written as Quantum ESPRESSO input:
```
&SYSTEM
  ibrav = 0, nat = 28, ntyp = 3
/
ATOMIC_SPECIES
Eu 151.96 Eu.upf
Mg 24.30 Mg.upf
Se 78.96 Se.upf
CELL_PARAMETERS angstrom
13.7529 0.0000 0.0000
0.0000 4.1108 0.0000
0.0000 0.0000 14.2952
ATOMIC_POSITIONS crystal
Eu 0.1217 0.2500 0.0695
Eu 0.1287 0.2500 0.7052
Eu 0.3713 0.7500 0.2052
Eu 0.3783 0.7500 0.5695
Eu 0.6217 0.2500 0.4305
Eu 0.6287 0.2500 0.7948
Eu 0.8713 0.7500 0.2948
Eu 0.8783 0.7500 0.9305
Mg 0.1062 0.7500 0.4640
Mg 0.3938 0.2500 0.9640
Mg 0.6062 0.7500 0.0360
Mg 0.8938 0.2500 0.5360
Se 0.0025 0.2500 0.3815
Se 0.0233 0.2500 0.8853
Se 0.2288 0.2500 0.5128
Se 0.2300 0.2500 0.2473
Se 0.2700 0.7500 0.7473
Se 0.2712 0.7500 0.0128
Se 0.4767 0.7500 0.3853
Se 0.4975 0.7500 0.8815
Se 0.5025 0.2500 0.1185
Se 0.5233 0.2500 0.6147
Se 0.7288 0.2500 0.9872
Se 0.7300 0.2500 0.2527
Se 0.7700 0.7500 0.7527
Se 0.7712 0.7500 0.4872
Se 0.9767 0.7500 0.1147
Se 0.9975 0.7500 0.6185
```

**DOS(E_F)**: 8.38 states/eV/f.u.
**Formation energy without anion corrections**: -9.482 eV/f.u.
**Mass density**: 5.293 g/cm3
**Crystal system**: orthorhombic
**Spin magnetization**: 12.09 μB per formula unit